Entry 1:
Crystalline CsCe2Te4 at its relaxed geometry. Source: the Alexandria database, functional GGA-PBE.

Calculated density (Mg/m³): 4.84
Formation energy from raw total energies (meV per atom): -1224
Calculated total energy (eV per atom): -4.836

a = 9.568 Å, b = 9.632 Å, c = 9.632 Å
α = 60.74°, β = 60.22°, γ = 60.22°
Each line ends with the local moment (μB).
Fractional coordinates of all 14 atoms:
Cs1 0.500 0.500 0.000  0.00
Cs2 0.000 0.500 0.000  0.00
Ce1 0.000 0.000 0.000  -0.59
Ce2 0.000 0.000 0.500  -0.59
Ce3 0.000 0.500 0.500  -0.59
Ce4 0.500 0.000 0.500  -0.59
Te1 0.234 0.227 0.306  0.03
Te2 0.766 0.194 0.273  0.03
Te3 0.234 0.806 0.727  0.03
Te4 0.766 0.773 0.694  0.03
Te5 0.766 0.770 0.270  0.03
Te6 0.806 0.230 0.730  0.03
Te7 0.194 0.770 0.270  0.03
Te8 0.234 0.230 0.730  0.03

Entry 2:
Crystalline CsCeTe2 at its relaxed geometry. Source: the Alexandria database, functional GGA-PBE.

Calculated density (Mg/m³): 5.08
Formation energy from raw total energies (meV per atom): -1330
Calculated total energy (eV per atom): -4.598

a = 4.703 Å, b = 4.703 Å, c = 9.418 Å
α = 75.54°, β = 75.54°, γ = 60.00°
Each line ends with the local moment (μB).
Fractional coordinates of all 4 atoms:
Cs1 0.498 0.498 0.505  0.00
Ce1 0.667 0.667 0.998  0.99
Te1 0.065 0.065 0.805  -0.02
Te2 0.269 0.269 0.192  -0.02

Entry 3:
Crystalline Cs3Ce3ThTe8 at its relaxed geometry. Source: the Alexandria database, functional GGA-PBE.

Calculated density (Mg/m³): 5.05
Formation energy from raw total energies (meV per atom): -1326
Calculated total energy (eV per atom): -4.854

a = 9.305 Å, b = 9.307 Å, c = 10.551 Å
α = 116.17°, β = 89.99°, γ = 120.00°
Each line ends with the local moment (μB).
Fractional coordinates of all 15 atoms:
Cs1 0.000 0.000 0.000  0.00
Cs2 0.000 0.500 0.000  0.00
Cs3 0.500 0.500 0.000  0.00
Ce1 0.500 0.000 0.500  0.98
Ce2 0.500 0.500 0.500  0.98
Ce3 0.000 0.500 0.500  0.98
Th1 0.000 0.000 0.500  0.01
Te1 0.269 0.538 0.307  -0.02
Te2 0.731 0.462 0.693  -0.02
Te3 0.772 0.544 0.309  -0.01
Te4 0.228 0.456 0.691  -0.01
Te5 0.772 0.037 0.309  -0.01
Te6 0.228 0.963 0.691  -0.01
Te7 0.265 0.037 0.309  -0.01
Te8 0.735 0.963 0.691  -0.01

Entry 4:
Crystalline Cs4CeTh3Te8 at its relaxed geometry. Source: the Alexandria database, functional GGA-PBE.

Calculated density (Mg/m³): 6.00
Formation energy from raw total energies (meV per atom): -1212
Calculated total energy (eV per atom): -4.759

a = 9.153 Å, b = 10.526 Å, c = 9.153 Å
α = 115.76°, β = 120.00°, γ = 90.00°
Each line ends with the local moment (μB).
Fractional coordinates of all 16 atoms:
Cs1 0.500 0.000 0.000  0.00
Cs2 0.500 0.000 0.500  0.00
Cs3 0.000 0.000 0.000  0.00
Cs4 0.000 0.000 0.500  0.00
Ce1 0.000 0.500 0.000  1.08
Th1 0.500 0.500 0.000  0.07
Th2 0.500 0.500 0.500  0.07
Th3 0.000 0.500 0.500  0.07
Te1 0.235 0.699 0.964  -0.01
Te2 0.235 0.699 0.470  -0.01
Te3 0.267 0.301 0.534  0.00
Te4 0.729 0.699 0.964  -0.01
Te5 0.271 0.301 0.036  -0.01
Te6 0.733 0.699 0.466  0.00
Te7 0.765 0.301 0.530  -0.01
Te8 0.765 0.301 0.036  -0.01